Record 1
First-principles (PBE-GGA) data for a geometry-optimized Ca3LaBi2As structure, as listed in Alexandria via LeMat-Bulk.

abc: 5.6894 5.4012 9.2027
angles: 107.07 108.01 90.00
Sites, in units of the cell vectors:
Bi1 0.3664 0.3664 0.7327
Bi2 0.6336 0.6336 0.2673
Ca1 0.0000 0.5000 0.0000
Ca2 0.8235 0.8235 0.6470
Ca3 0.1765 0.1765 0.3530
As1 0.0000 0.0000 0.0000
La1 0.5000 0.0000 0.0000

- Uncorrected energy: -4.23 eV per atom
- Energy relative to the elements: -603 kJ/mol of formula units
- Volume: 36.5 A^3/atom

Record 2
First-principles (PBE-GGA) data for a geometry-optimized CaMg2BiAs structure, as listed in Alexandria via LeMat-Bulk.

abc: 5.0285 5.5738 5.0285
angles: 90.00 90.00 90.00
Sites, in units of the cell vectors:
Bi1 0.5000 0.5000 0.5000
As1 0.0000 0.0000 0.0000
Mg1 0.5000 0.0000 0.0000
Mg2 0.0000 0.0000 0.5000
Ca1 0.0000 0.5000 0.0000

- Uncorrected energy: -3.23 eV per atom
- Energy relative to the elements: -233 kJ/mol of formula units
- Volume: 28.2 A^3/atom

Record 3
First-principles (PBE-GGA) data for a geometry-optimized CaBiMo2As structure, as listed in Alexandria via LeMat-Bulk.

abc: 4.7351 5.6341 4.7351
angles: 90.00 90.00 90.00
Sites, in units of the cell vectors:
Mo1 0.0000 0.0000 0.5000
Mo2 0.5000 0.0000 0.0000
Ca1 0.5000 0.5000 0.5000
Bi1 0.0000 0.5000 0.0000
As1 0.0000 0.0000 0.0000

- Uncorrected energy: -5.67 eV per atom
- Energy relative to the elements: 369 kJ/mol of formula units
- Volume: 25.3 A^3/atom

Record 4
First-principles (PBE-GGA) data for a geometry-optimized CaBiMoAs2 structure, as listed in Alexandria via LeMat-Bulk.

abc: 5.5668 5.2460 5.5668
angles: 90.00 90.00 90.00
Sites, in units of the cell vectors:
Bi1 0.0000 0.0000 0.0000
Mo1 0.0000 0.5000 0.0000
As1 0.5000 0.0000 0.0000
As2 0.0000 0.0000 0.5000
Ca1 0.5000 0.5000 0.5000

- Uncorrected energy: -4.23 eV per atom
- Energy relative to the elements: 468 kJ/mol of formula units
- Volume: 32.5 A^3/atom